1.
The following is a PBE calculation of crystalline Tb2Y3 at its relaxed geometry, from Alexandria via LeMat-Bulk.

Cell lengths 6.3100, 6.7415, 9.6402 Å; angles 65.88, 70.90, 62.10 degrees
Sites, in units of the cell vectors:
1 Tb 0.2338 0.2503 0.9498
2 Tb 0.4339 0.2497 0.5502
3 Tb 0.7662 0.7497 0.0502
4 Tb 0.5661 0.7503 0.4498
5 Y 0.3649 0.7509 0.8501
6 Y 0.8319 0.2500 0.7500
7 Y 0.6351 0.2491 0.1499
8 Y 0.9659 0.7491 0.6499
9 Y 0.1681 0.7500 0.2500
10 Y 0.0341 0.2509 0.3501

Values from the calculation:
symmetry: C2/c

---

2.
The following is a PBE calculation of crystalline Tb5Y6 at its relaxed geometry, from Alexandria via LeMat-Bulk.

Cell lengths 9.1882, 7.9371, 6.3444 Å; angles 80.05, 72.63, 54.63 degrees
Sites, in units of the cell vectors:
1 Tb 0.2410 0.5179 0.5000
2 Tb 0.7590 0.4821 0.5000
3 Tb 0.5000 0.0000 0.5000
4 Tb 0.6274 0.7453 0.0000
5 Tb 0.3726 0.2547 0.0000
6 Y 0.3139 0.7319 0.8308
7 Y 0.6861 0.2681 0.1692
8 Y 0.9542 0.7319 0.1692
9 Y 0.1673 0.0000 0.3154
10 Y 0.8327 0.0000 0.6846
11 Y 0.0458 0.2681 0.8308

Values from the calculation:
symmetry: C2/m

---

3.
The following is a PBE calculation of crystalline Tb7Y5 at its relaxed geometry, from Alexandria via LeMat-Bulk.

Cell lengths 5.7214, 5.5968, 14.6825 Å; angles 101.22, 90.00, 120.74 degrees
Sites, in units of the cell vectors:
1 Tb 0.2383 0.4766 0.6728
2 Tb 0.6848 0.3696 0.0818
3 Tb 0.5000 0.0000 0.5000
4 Tb 0.7617 0.5234 0.3272
5 Tb 0.0454 0.0908 0.2124
6 Tb 0.3152 0.6304 0.9182
7 Tb 0.9546 0.9092 0.7876
8 Y 0.3784 0.7569 0.1973
9 Y 0.0000 0.0000 0.0000
10 Y 0.1436 0.2873 0.4392
11 Y 0.6216 0.2431 0.8027
12 Y 0.8564 0.7127 0.5608

Values from the calculation:
symmetry: C2/m
energy relative to the lowest polymorph listed for this composition: 186 meV/atom

---

4.
The following is a PBE calculation of crystalline Tb5Y at its relaxed geometry, from Alexandria via LeMat-Bulk.

Cell lengths 5.0334, 6.1717, 7.1267 Å; angles 106.80, 90.00, 114.07 degrees
Sites, in units of the cell vectors:
1 Tb 0.6382 0.2765 0.3881
2 Tb 0.3056 0.6111 0.2222
3 Tb 0.9722 0.9444 0.5552
4 Tb 0.9729 0.9457 0.0563
5 Tb 0.6389 0.2778 0.8893
6 Y 0.3056 0.6111 0.7222

Values from the calculation:
symmetry: C2/m

---

5.
The following is a PBE calculation of crystalline Tb7Y3 at its relaxed geometry, from Alexandria via LeMat-Bulk.

Cell lengths 5.0301, 7.1453, 9.4261 Å; angles 100.90, 105.47, 90.00 degrees
Sites, in units of the cell vectors:
1 Tb 0.5998 0.3002 0.1995
2 Tb 0.0000 0.5000 0.0000
3 Tb 0.4000 0.1999 0.8000
4 Tb 0.7999 0.9005 0.5998
5 Tb 0.2001 0.0995 0.4002
6 Tb 0.6000 0.8001 0.2000
7 Tb 0.4002 0.6998 0.8005
8 Y 0.0000 0.0000 0.0000
9 Y 0.8002 0.3994 0.6003
10 Y 0.1998 0.6006 0.3997

Values from the calculation:
symmetry: C2/m
energy relative to the lowest polymorph listed for this composition: 0 meV/atom

---

6.
The following is a PBE calculation of crystalline Tb13Y3 at its relaxed geometry, from Alexandria via LeMat-Bulk.

Cell lengths 7.1327, 7.1327, 10.0620 Å; angles 90.00, 90.00, 90.00 degrees
Sites, in units of the cell vectors:
1 Tb 0.7496 0.7495 0.5000
2 Tb 0.7493 0.2507 0.5000
3 Tb 0.0002 0.5002 0.7498
4 Tb 0.0002 0.5002 0.2502
5 Tb 0.4998 0.9998 0.2502
6 Tb 0.4997 0.5003 0.7498
7 Tb 0.2508 0.7492 0.5000
8 Tb 0.2504 0.2506 0.0000
9 Tb 0.7494 0.7496 0.0000
10 Tb 0.4998 0.9998 0.7498
11 Tb 0.4997 0.5003 0.2502
12 Tb 0.2503 0.7497 0.0000
13 Tb 0.2505 0.2504 0.5000
14 Y 0.7497 0.2503 0.0000
15 Y 0.0002 0.9998 0.2503
16 Y 0.0002 0.9998 0.7497

Values from the calculation:
symmetry: Amm2
energy relative to the lowest polymorph listed for this composition: 4 meV/atom

---

7.
The following is a PBE calculation of crystalline Tb2Y7 at its relaxed geometry, from Alexandria via LeMat-Bulk.

Cell lengths 6.1812, 6.1812, 8.7450 Å; angles 90.00, 90.00, 120.00 degrees
Sites, in units of the cell vectors:
1 Tb 0.6667 0.3333 0.0000
2 Tb 0.3333 0.6667 0.0000
3 Y 0.3339 0.0000 0.6669
4 Y 0.3339 0.3339 0.3331
5 Y 0.6661 0.0000 0.3331
6 Y 0.0000 0.3339 0.6669
7 Y 0.0000 0.0000 0.0000
8 Y 0.0000 0.6661 0.3331
9 Y 0.6661 0.6661 0.6669

Values from the calculation:
symmetry: P-31m
energy relative to the lowest polymorph listed for this composition: 0 meV/atom

---

8.
The following is a PBE calculation of crystalline Tb17Y2 at its relaxed geometry, from Alexandria via LeMat-Bulk.

Cell lengths 8.7367, 8.7367, 8.7367 Å; angles 79.19, 79.19, 79.19 degrees
Sites, in units of the cell vectors:
1 Tb 0.0944 0.0944 0.0944
2 Tb 0.0000 0.5000 0.0000
3 Tb 0.0000 0.2987 0.7013
4 Tb 0.0000 0.7013 0.2987
5 Tb 0.1503 0.6263 0.6263
6 Tb 0.2987 0.7013 0.0000
7 Tb 0.7013 0.2987 0.0000
8 Tb 0.6263 0.1503 0.6263
9 Tb 0.8497 0.3737 0.3737
10 Tb 0.9056 0.9056 0.9056
11 Tb 0.3737 0.3737 0.8497
12 Tb 0.3737 0.8497 0.3737
13 Tb 0.5000 0.0000 0.0000
14 Tb 0.7013 0.0000 0.2987
15 Tb 0.0000 0.0000 0.5000
16 Tb 0.2987 0.0000 0.7013
17 Tb 0.6263 0.6263 0.1503
18 Y 0.3211 0.3211 0.3211
19 Y 0.6789 0.6789 0.6789

Values from the calculation:
symmetry: R-3m

---

9.
The following is a PBE calculation of crystalline Tb6Y7 at its relaxed geometry, from Alexandria via LeMat-Bulk.

Cell lengths 6.5868, 6.5868, 12.3137 Å; angles 74.49, 74.49, 60.00 degrees
Sites, in units of the cell vectors:
1 Tb 0.3518 0.3518 0.9445
2 Tb 0.4537 0.4537 0.6389
3 Tb 0.8338 0.8338 0.4986
4 Tb 0.6482 0.6482 0.0555
5 Tb 0.5463 0.5463 0.3611
6 Tb 0.1662 0.1662 0.5014
7 Y 0.0885 0.0885 0.2395
8 Y 0.9115 0.9115 0.7605
9 Y 0.4166 0.9115 0.7605
10 Y 0.0885 0.5834 0.2395
11 Y 0.9115 0.4166 0.7605
12 Y 0.5834 0.0885 0.2395
13 Y 0.0000 0.0000 0.0000

Values from the calculation:
symmetry: R-3m

---

10.
The following is a PBE calculation of crystalline TbY7 at its relaxed geometry, from Alexandria via LeMat-Bulk.

Cell lengths 3.5383, 8.7911, 8.7911 Å; angles 79.13, 78.38, 78.38 degrees
Sites, in units of the cell vectors:
1 Y 0.0000 0.5000 0.5000
2 Y 0.7402 0.7593 0.7593
3 Y 0.2598 0.2407 0.2407
4 Y 0.3675 0.8645 0.4006
5 Y 0.6325 0.5994 0.1355
6 Y 0.3675 0.4006 0.8645
7 Y 0.6325 0.1355 0.5994
8 Tb 0.0000 0.0000 0.0000

Values from the calculation:
symmetry: Immm
energy relative to the lowest polymorph listed for this composition: 14 meV/atom

---

11.
The following is a PBE calculation of crystalline Tb5Y at its relaxed geometry, from Alexandria via LeMat-Bulk.

Cell lengths 6.1690, 7.1318, 10.6745 Å; angles 90.00, 90.00, 125.30 degrees
Sites, in units of the cell vectors:
1 Tb 0.2499 0.0001 0.7500
2 Tb 0.7501 0.9999 0.2500
3 Tb 0.2500 0.5000 0.0835
4 Tb 0.7501 0.0002 0.9173
5 Tb 0.2500 0.5000 0.4165
6 Tb 0.7500 0.5000 0.9165
7 Tb 0.7500 0.5000 0.5835
8 Tb 0.2499 0.9998 0.4173
9 Tb 0.2499 0.9998 0.0827
10 Tb 0.7501 0.0002 0.5827
11 Y 0.2500 0.5004 0.7500
12 Y 0.7500 0.4996 0.2500

Values from the calculation:
symmetry: P2_1/m

---

12.
The following is a PBE calculation of crystalline Tb7Y5 at its relaxed geometry, from Alexandria via LeMat-Bulk.

Cell lengths 3.5793, 9.4733, 12.0993 Å; angles 73.78, 81.49, 79.11 degrees
Sites, in units of the cell vectors:
1 Y 0.1664 0.1668 0.5005
2 Y 0.3052 0.6391 0.7506
3 Y 0.6948 0.3609 0.2494
4 Y 0.8336 0.8332 0.4995
5 Y 0.0000 0.0000 0.0000
6 Tb 0.0274 0.6947 0.2504
7 Tb 0.9726 0.3053 0.7496
8 Tb 0.3611 0.0281 0.2496
9 Tb 0.6664 0.6665 0.0006
10 Tb 0.6389 0.9719 0.7504
11 Tb 0.5000 0.5000 0.5000
12 Tb 0.3336 0.3335 0.9994

Values from the calculation:
symmetry: C2/m
energy relative to the lowest polymorph listed for this composition: 0 meV/atom

---

Number 1: calculated density 6.0 Mg/m³, formation energy 0.005 eV per atom. Number 2: calculated density 6.1 Mg/m³, formation energy 0.138 eV per atom. Number 3: calculated density 6.6 Mg/m³, formation energy 0.191 eV per atom. Number 4: calculated density 7.7 Mg/m³, formation energy 0.016 eV per atom. Number 5: calculated density 7.2 Mg/m³, formation energy 0.016 eV per atom. Number 6: calculated density 7.6 Mg/m³, formation energy 0.015 eV per atom. Number 7: calculated density 5.4 Mg/m³, formation energy 0.025 eV per atom. Number 8: calculated density 7.5 Mg/m³, formation energy 0.278 eV per atom. Number 9: calculated density 5.9 Mg/m³, formation energy 0.283 eV per atom. Number 10: calculated density 5.0 Mg/m³, formation energy 0.039 eV per atom. Number 11: calculated density 7.7 Mg/m³, formation energy 0.016 eV per atom. Number 12: calculated density 6.7 Mg/m³, formation energy 0.005 eV per atom.